Entry 1:
The following is a DFT calculation (GGA-PBEsol) of SiIF2 after structural relaxation.

extended XYZ file:
```
8
Lattice="0.0000 4.3388 4.3388 4.3388 0.0000 4.3388 4.3388 4.3388 0.0000" Properties=species:S:1:pos:R:3 pbc="T T T"
Si 1.0847 1.0847 1.0847
Si 7.5929 7.5929 7.5929
I 3.2541 3.2541 3.2541
I 5.4235 5.4235 5.4235
F 0.0000 0.0000 0.0000
F 2.1694 2.1694 0.0000
F 2.1694 0.0000 2.1694
F 0.0000 2.1694 2.1694
```

Properties
Its density of states at the Fermi level is 0.2796 states/eV/atom. As for the final energy: -16.132 eV/f.u. For the formation energy from raw total energies, the calculation gives -1191 meV per atom.

Entry 2:
The following is a DFT calculation (GGA-PBEsol) of Re2HgSe after structural relaxation.

extended XYZ file:
```
4
Lattice="2.9199 0.0000 0.0000 0.0000 2.9199 0.0000 0.0000 0.0000 8.2014" Properties=species:S:1:pos:R:3 pbc="T T T"
Re 0.0000 0.0000 0.0000
Re 1.4599 1.4599 1.6677
Hg 1.4599 1.4599 6.1330
Se 0.0000 0.0000 3.3066
```

Properties
Its density of states at the Fermi level is 0.5095 states/eV/atom. As for the final energy: -29.963 eV/f.u. For the formation energy from raw total energies, the calculation gives 280 meV per atom. For the offset from the most stable computed form, the calculation gives 0 meV per atom.

Entry 3:
The following is a DFT calculation (GGA-PBEsol) of CoB2Os after structural relaxation.

extended XYZ file:
```
4
Lattice="0.0000 2.5988 2.5988 2.5988 0.0000 2.5988 2.5988 2.5988 0.0000" Properties=species:S:1:pos:R:3 pbc="T T T"
Co 0.0000 0.0000 0.0000
B 1.2994 1.2994 1.2994
B 3.8982 3.8982 3.8982
Os 2.5988 2.5988 2.5988
```

Properties
Its density of states at the Fermi level is 0.5424 states/eV/atom. As for the final energy: -33.950 eV/f.u.

Entry 4:
The following is a DFT calculation (GGA-PBEsol) of OsPbCl2 after structural relaxation.

extended XYZ file:
```
4
Lattice="1.6113 -2.8167 0.0000 1.6113 2.8167 0.0000 0.0000 0.0000 9.0844" Properties=species:S:1:pos:R:3 pbc="T T T"
Os 0.0000 0.0000 0.0000
Pb 1.6113 0.0000 6.6720
Cl 0.0000 0.0000 4.4764
Cl 1.6113 0.0000 1.6469
```

Properties
Its density of states at the Fermi level is 0.6859 states/eV/atom. As for the final energy: -18.237 eV/f.u. For the formation energy from raw total energies, the calculation gives 498 meV per atom. For the offset from the most stable computed form, the calculation gives 133 meV per atom.

Please write out number 2 again, unchanged.
The following is a DFT calculation (GGA-PBEsol) of Re2HgSe after structural relaxation.

extended XYZ file:
```
4
Lattice="2.9199 0.0000 0.0000 0.0000 2.9199 0.0000 0.0000 0.0000 8.2014" Properties=species:S:1:pos:R:3 pbc="T T T"
Re 0.0000 0.0000 0.0000
Re 1.4599 1.4599 1.6677
Hg 1.4599 1.4599 6.1330
Se 0.0000 0.0000 3.3066
```

Properties
Its density of states at the Fermi level is 0.5095 states/eV/atom. As for the final energy: -29.963 eV/f.u. For the formation energy from raw total energies, the calculation gives 280 meV per atom. For the offset from the most stable computed form, the calculation gives 0 meV per atom.